This record from Alexandria via LeMat-Bulk describes a geometry-optimized BaLiAl2Ni structure. The functional is GGA-PBE.

Cell and atoms, written as POSCAR:
```
BaLiAl2Ni
1.0
-0.745 3.223 3.268
0.435 -3.246 3.301
5.017 0.916 0.240
Ni Li Ba Al
1 1 1 2
Cartesian
0.000 0.000 0.000
2.509 0.458 0.120
2.354 0.447 3.405
0.218 -1.623 1.651
-0.373 1.612 1.634
```

Values from the calculation:
The energy above the most stable polymorph in this dataset comes out at 0.000 eV per atom. The volume is 22.1 Å³ per atom. The value obtained for the formation energy from the elements is -218 meV per atom. The space group is P4/mmm, No. 123. As for the electronic total energy: -0.2674 Ry/atom.